[1]
PBE-GGA SbAuSe2, relaxed; ΔE_f (raw) = 0.346 eV per atom; N(E_F) = 3.2 states/eV/cell; space-group type = No. 216
1.0
-0.2105 4.5178 -2.0499
-4.1374 2.7167 0.3981
-0.0505 4.0377 2.8898
Se Au Sb
2 1 1
Direct
0.2500 0.2500 0.2500
0.0000 0.0000 0.0000
0.5000 0.5000 0.5000
0.7500 0.7500 0.7500

[2]
PBE-GGA SbAu2Se, relaxed; ΔE_f (raw) = 0.271 eV per atom; N(E_F) = 3.1 states/eV/cell; space-group type = No. 216
1.0
4.9524 0.0000 0.0000
2.4762 4.2889 0.0000
2.4762 1.4296 4.0436
Se Sb Au
1 1 2
Direct
0.7500 0.7500 0.7500
0.5000 0.5000 0.5000
0.2500 0.2500 0.2500
0.0000 0.0000 0.0000

[3]
PBE-GGA SbAuSe, relaxed; ΔE_f (raw) = -0.008 eV per atom; N(E_F) = 1.1 states/eV/cell; space-group type = No. 11
1.0
4.3075 -0.0007 0.0002
0.0011 7.3662 0.6262
0.0001 4.0216 5.4792
Au Sb Se
2 2 2
Direct
0.9497 0.4568 0.1106
0.4497 0.7188 0.7140
0.9497 0.1437 0.0131
0.4497 0.0319 0.8115
0.9496 0.7185 0.4977
0.4496 0.4571 0.3269

[4]
PBE-GGA Sb6Au3Se, relaxed; ΔE_f (raw) = -0.037 eV per atom; N(E_F) = 8.6 states/eV/cell; space-group type = No. 2
1.0
4.1471 -0.0007 0.0004
-0.0023 13.4836 -1.5026
0.0008 0.6613 9.2704
Sb Se Au
12 2 6
Direct
0.7499 0.9214 0.1069
0.7502 0.4154 0.5267
0.2498 0.5846 0.4733
0.2507 0.8672 0.5773
0.7493 0.1328 0.4227
0.7502 0.7156 0.2297
0.7499 0.4369 0.1244
0.2501 0.5631 0.8756
0.2498 0.2844 0.7703
0.2501 0.0786 0.8931
0.2498 0.2694 0.1781
0.7502 0.7306 0.8219
0.2505 0.9712 0.3289
0.7495 0.0288 0.6711
0.2501 0.5823 0.1741
0.2498 0.2711 0.4765
0.7498 0.1392 0.0877
0.7502 0.7289 0.5235
0.2502 0.8608 0.9123
0.7499 0.4177 0.8259

[5]
PBE-GGA Sb3AuSe, relaxed; ΔE_f (raw) = 0.692 eV per atom; N(E_F) = 6.5 states/eV/cell; space-group type = No. 221
1.0
5.3768 0.0000 0.0000
0.0000 5.3768 0.0000
0.0000 0.0000 5.3768
Sb Se Au
3 1 1
Direct
0.5000 0.0000 0.0000
0.0000 0.5000 0.0000
0.0000 0.0000 0.5000
0.5000 0.5000 0.5000
0.0000 0.0000 0.0000

[6]
PBE-GGA SbAuSe3, relaxed; ΔE_f (raw) = 0.486 eV per atom; N(E_F) = 3.5 states/eV/cell; space-group type = No. 221
1.0
-3.9209 3.0032 -1.1209
1.0753 -0.4360 -4.9298
-3.0198 -4.0546 -0.3001
Se Sb Au
3 1 1
Direct
0.0000 0.5000 0.0000
0.0000 0.0000 0.5000
0.5000 0.0000 0.0000
0.5000 0.5000 0.5000
0.0000 0.0000 0.0000

Which value of N(E_F) does entry 1 give?
3.2 states/eV/cell

Repeat the fifth record exactly.
PBE-GGA Sb3AuSe, relaxed; ΔE_f (raw) = 0.692 eV per atom; N(E_F) = 6.5 states/eV/cell; space-group type = No. 221
1.0
5.3768 0.0000 0.0000
0.0000 5.3768 0.0000
0.0000 0.0000 5.3768
Sb Se Au
3 1 1
Direct
0.5000 0.0000 0.0000
0.0000 0.5000 0.0000
0.0000 0.0000 0.5000
0.5000 0.5000 0.5000
0.0000 0.0000 0.0000

N(E_F) of number 5 (Sb3AuSe)?
6.5 states/eV/cell

Among the records above, which one has the highest ΔE_f (raw)?
Sb3AuSe